DFT (PBE) results for a relaxed structure of Mg3W.

Calculated values
* E above lowest polymorph: 412 meV per atom
* M_tot: 0.0 μB per formula unit
* energy of formation from the pure elements: 2.8 eV per formula unit
* total DFT energy (no corrections): -29.9 eV per cell

Lattice parameters (Å, degrees): 5.3449 5.3449 5.3449 90.00 90.00 90.00
Space group Pm-3n (No. 223)
One atom of each set of equivalent atoms:
1 Mg 0.0000 0.2500 0.5000 x6
2 W 0.0000 0.0000 0.0000 x2